Rb2Ge2N after structural relaxation, computed with GGA-PBE.

Properties
DFT total energy = -29.7 eV/cell
Formation energy (no corrections) = 0.9245 eV/atom
Offset from the most stable computed form = 7.91 kcal/mol of atoms
D(E_F) = 0.49 states/eV/atom
M_tot = 3.00 μB/f.u.

a = 8.6163 Å, b = 8.6163 Å, c = 5.5061 Å
α = 90.00°, β = 90.00°, γ = 90.00°
Space group P4/mbm (No. 127)
Symmetry-distinct sites (fractional):
Rb1 0.2048 0.2952 0.0000
Ge1 0.0925 0.5925 0.5000
N1 0.0000 0.0000 0.0000